First-principles (SCAN) data for a PBEsol-optimized structure of BaAs3Pd, as listed in the Alexandria database.

The structure in POSCAR format:
```
BaAs3Pd
1.0
5.572 0.000 0.000
0.000 5.572 0.000
0.000 0.000 5.572
Pd As Ba
1 3 1
Direct
0.500 0.500 0.500
0.000 0.500 0.000
0.000 0.000 0.500
0.500 0.000 0.000
0.000 0.000 0.000
```

Summary:
The total magnetization comes out at 0.0 μB/f.u. For the formation energy, the calculation gives 1.668 eV per atom. The density comes out at 4497 kg/m3.